1.
# Pr3Ho2Hg4, relaxed, DFT PBE
data_Pr3Ho2Hg4
_chemical_formula_sum 'Pr12 Ho8 Hg16'
_symmetry_space_group_name_H-M 'C m c e'
_symmetry_Int_Tables_number 64
_symmetry_space_group_name_Hall '-C 2ac 2'
_cell_length_a 6.903
_cell_length_b 19.553
_cell_length_c 8.002
_cell_angle_alpha 90.00
_cell_angle_beta 90.00
_cell_angle_gamma 90.00
loop_
_atom_site_label
_atom_site_type_symbol
_atom_site_fract_x
_atom_site_fract_y
_atom_site_fract_z
Pr1 Pr 0.000 0.000 0.000
Pr2 Pr 0.250 0.240 0.250
Ho1 Ho 0.000 0.093 0.585
Hg1 Hg 0.000 0.157 0.958
Hg2 Hg 0.250 0.076 0.250
# formation energy from the elements = -25 kJ per mole of atoms
# E = -108.224 eV/cell

=====

2.
# SmTaIr, relaxed, DFT PBE
data_SmTaIr
_chemical_formula_sum 'Sm2 Ta2 Ir2'
_symmetry_space_group_name_H-M 'P 4/n m m'
_symmetry_Int_Tables_number 129
_cell_length_a 4.543
_cell_length_b 4.543
_cell_length_c 6.703
_cell_angle_alpha 90.00
_cell_angle_beta 90.00
_cell_angle_gamma 90.00
loop_
_symmetry_equiv_pos_as_xyz
'x,y,z'
'-x,-y,-z'
'-y+1/2,x,z'
'y+1/2,-x,-z'
'-x+1/2,-y+1/2,z'
'x+1/2,y+1/2,-z'
'y,-x+1/2,z'
'-y,x+1/2,-z'
'x+1/2,-y,-z'
'-x+1/2,y,z'
'-y,-x,-z'
'y,x,z'
'-x,y+1/2,-z'
'x,-y+1/2,z'
'y+1/2,x+1/2,-z'
'-y+1/2,-x+1/2,z'
loop_
_atom_site_label
_atom_site_type_symbol
_atom_site_fract_x
_atom_site_fract_y
_atom_site_fract_z
Sm1 Sm 0.250 0.250 0.132
Ta1 Ta 0.250 0.750 0.500
Ir1 Ir 0.250 0.250 0.688
# formation energy from the elements = -50 kJ per mole of atoms
# E = -53.987 eV/cell

=====

3.
# Ce2CrSe5, relaxed, DFT PBE
data_Ce2CrSe5
_chemical_formula_sum 'Ce4 Cr2 Se10'
_symmetry_space_group_name_H-M 'P b a m'
_symmetry_Int_Tables_number 55
_symmetry_space_group_name_Hall '-P 2 2ab'
_cell_length_a 8.072
_cell_length_b 11.210
_cell_length_c 4.052
_cell_angle_alpha 90.00
_cell_angle_beta 90.00
_cell_angle_gamma 90.00
loop_
_atom_site_label
_atom_site_type_symbol
_atom_site_fract_x
_atom_site_fract_y
_atom_site_fract_z
Ce1 Ce 0.087 0.174 0.000
Cr1 Cr 0.000 0.500 0.500
Se1 Se 0.000 0.000 0.500
Se2 Se 0.137 0.703 0.500
Se3 Se 0.180 0.438 0.000
# formation energy without anion corrections = -1.36 eV/atom
# E = -99.544 eV/cell

=====

4.
# La3Er2Tm4, relaxed, DFT PBE
data_La3Er2Tm4
_chemical_formula_sum 'La12 Er8 Tm16'
_symmetry_space_group_name_H-M 'C 1 2/c 1'
_symmetry_Int_Tables_number 15
_symmetry_space_group_name_Hall '-C 2yc'
_cell_length_a 14.922
_cell_length_b 12.977
_cell_length_c 6.372
_cell_angle_alpha 90.00
_cell_angle_beta 104.47
_cell_angle_gamma 90.00
loop_
_atom_site_label
_atom_site_type_symbol
_atom_site_fract_x
_atom_site_fract_y
_atom_site_fract_z
La1 La 0.000 0.038 0.250
La2 La 0.102 0.437 0.988
Er1 Er 0.212 0.079 0.613
Tm1 Tm 0.092 0.291 0.506
Tm2 Tm 0.178 0.182 0.101
# formation energy from the elements = 14 kJ per mole of atoms
# energy relative to the lowest polymorph listed for this composition = 33.9 meV per atom
# E = -161.909 eV/cell

=====

5.
# TeIrAu2, relaxed, DFT PBE
data_TeIrAu2
_chemical_formula_sum 'Te1 Ir1 Au2'
_symmetry_space_group_name_H-M 'P m m 2'
_symmetry_Int_Tables_number 25
_symmetry_space_group_name_Hall 'P 2 -2'
_cell_length_a 3.087
_cell_length_b 3.567
_cell_length_c 7.128
_cell_angle_alpha 90.00
_cell_angle_beta 90.00
_cell_angle_gamma 90.00
loop_
_atom_site_label
_atom_site_type_symbol
_atom_site_fract_x
_atom_site_fract_y
_atom_site_fract_z
Te1 Te 0.000 0.000 0.000
Ir1 Ir 0.500 0.500 0.811
Au1 Au 0.000 0.000 0.563
Au2 Au 0.500 0.500 0.338
# formation energy without anion corrections = 0.25 eV/atom
# E = -17.563 eV/cell

=====

6.
# Cu2SiGe, relaxed, DFT PBE
data_Cu2SiGe
_chemical_formula_sum 'Cu8 Si4 Ge4'
_symmetry_space_group_name_H-M 'I -4 2 d'
_symmetry_Int_Tables_number 122
_symmetry_space_group_name_Hall 'I -4 2bw'
_cell_length_a 6.899
_cell_length_b 6.899
_cell_length_c 5.174
_cell_angle_alpha 90.00
_cell_angle_beta 90.00
_cell_angle_gamma 90.00
loop_
_atom_site_label
_atom_site_type_symbol
_atom_site_fract_x
_atom_site_fract_y
_atom_site_fract_z
Cu1 Cu 0.228 0.750 0.125
Si1 Si 0.000 0.000 0.000
Ge1 Ge 0.000 0.000 0.500
# formation energy without anion corrections = 0.36 eV/atom
# energy relative to the lowest polymorph listed for this composition = 231.3 meV per atom
# E = -67.250 eV/cell

=====

7.
# MnTc2OsBr, relaxed, DFT PBE
data_MnTc2OsBr
_chemical_formula_sum 'Mn1 Tc2 Os1 Br1'
_symmetry_space_group_name_H-M 'P 4/m m m'
_symmetry_Int_Tables_number 123
_symmetry_space_group_name_Hall '-P 4 2'
_cell_length_a 4.523
_cell_length_b 4.523
_cell_length_c 4.519
_cell_angle_alpha 90.00
_cell_angle_beta 90.00
_cell_angle_gamma 90.00
loop_
_atom_site_label
_atom_site_type_symbol
_atom_site_fract_x
_atom_site_fract_y
_atom_site_fract_z
Mn1 Mn 0.000 0.000 0.000
Tc1 Tc 0.000 0.500 0.000
Os1 Os 0.000 0.000 0.500
Br1 Br 0.500 0.500 0.500
# formation energy without anion corrections = 1.71 eV/atom
# E = -34.252 eV/cell

=====

8.
# Nd2Er13, relaxed, DFT PBE
data_Nd2Er13
_chemical_formula_sum 'Nd2 Er13'
_symmetry_space_group_name_H-M 'P -1'
_symmetry_Int_Tables_number 2
_symmetry_space_group_name_Hall '-P 1'
_cell_length_a 6.555
_cell_length_b 8.672
_cell_length_c 8.939
_cell_angle_alpha 69.11
_cell_angle_beta 84.17
_cell_angle_gamma 80.76
loop_
_atom_site_label
_atom_site_type_symbol
_atom_site_fract_x
_atom_site_fract_y
_atom_site_fract_z
Nd1 Nd 0.199 0.306 0.396
Er1 Er 0.000 0.500 0.000
Er2 Er 0.096 0.925 0.693
Er3 Er 0.136 0.698 0.264
Er4 Er 0.238 0.075 0.976
Er5 Er 0.335 0.498 0.669
Er6 Er 0.430 0.922 0.359
Er7 Er 0.466 0.697 0.935
# formation energy from the elements = 5 kJ per mole of atoms
# E = -68.124 eV/cell

=====

9.
# LaScFe3, relaxed, DFT PBE
data_LaScFe3
_chemical_formula_sum 'La1 Sc1 Fe3'
_symmetry_space_group_name_H-M 'P m -3 m'
_symmetry_Int_Tables_number 221
_symmetry_space_group_name_Hall '-P 4 2 3'
_cell_length_a 4.709
_cell_length_b 4.709
_cell_length_c 4.709
_cell_angle_alpha 90.00
_cell_angle_beta 90.00
_cell_angle_gamma 90.00
loop_
_atom_site_label
_atom_site_type_symbol
_atom_site_fract_x
_atom_site_fract_y
_atom_site_fract_z
La1 La 0.000 0.000 0.000
Sc1 Sc 0.500 0.500 0.500
Fe1 Fe 0.000 0.500 0.500
# formation energy from the elements = 78 kJ per mole of atoms
# energy relative to the lowest polymorph listed for this composition = 0.0 meV per atom
# E = -32.586 eV/cell

=====

10.
# Tm6GaFe2, relaxed, DFT PBE
data_Tm6GaFe2
_chemical_formula_sum 'Tm24 Ga4 Fe8'
_symmetry_space_group_name_H-M 'I m m m'
_symmetry_Int_Tables_number 71
_symmetry_space_group_name_Hall '-I 2 2'
_cell_length_a 9.262
_cell_length_b 9.333
_cell_length_c 9.758
_cell_angle_alpha 90.00
_cell_angle_beta 90.00
_cell_angle_gamma 90.00
loop_
_atom_site_label
_atom_site_type_symbol
_atom_site_fract_x
_atom_site_fract_y
_atom_site_fract_z
Tm1 Tm 0.000 0.206 0.232
Tm2 Tm 0.203 0.500 0.184
Tm3 Tm 0.216 0.314 0.500
Ga1 Ga 0.000 0.000 0.000
Ga2 Ga 0.000 0.000 0.500
Fe1 Fe 0.000 0.381 0.000
Fe2 Fe 0.000 0.500 0.389
# formation energy from the elements = -20 kJ per mole of atoms
# E = -194.473 eV/cell

=====

11.
# MnBi2As2Pd7, relaxed, DFT PBE
data_MnBi2As2Pd7
_chemical_formula_sum 'Mn2 Bi4 As4 Pd14'
_symmetry_space_group_name_H-M 'C 1 2/m 1'
_symmetry_Int_Tables_number 12
_symmetry_space_group_name_Hall '-C 2y'
_cell_length_a 5.714
_cell_length_b 5.674
_cell_length_c 14.055
_cell_angle_alpha 90.00
_cell_angle_beta 97.09
_cell_angle_gamma 90.00
loop_
_atom_site_label
_atom_site_type_symbol
_atom_site_fract_x
_atom_site_fract_y
_atom_site_fract_z
Mn1 Mn 0.000 0.000 0.000
Bi1 Bi 0.127 0.000 0.385
As1 As 0.074 0.500 0.245
Pd1 Pd 0.000 0.500 0.000
Pd2 Pd 0.151 0.500 0.427
Pd3 Pd 0.208 0.250 0.861
# formation energy from the elements = -25 kJ per mole of atoms
# E = -131.487 eV/cell

=====

12.
# GaCu2Sn2, relaxed, DFT PBE
data_GaCu2Sn2
_chemical_formula_sum 'Ga2 Cu4 Sn4'
_symmetry_space_group_name_H-M 'P 4/m b m'
_symmetry_Int_Tables_number 127
_symmetry_space_group_name_Hall '-P 4 2ab'
_cell_length_a 6.825
_cell_length_b 6.825
_cell_length_c 4.101
_cell_angle_alpha 90.00
_cell_angle_beta 90.00
_cell_angle_gamma 90.00
loop_
_atom_site_label
_atom_site_type_symbol
_atom_site_fract_x
_atom_site_fract_y
_atom_site_fract_z
Ga1 Ga 0.000 0.000 0.000
Cu1 Cu 0.131 0.369 0.000
Sn1 Sn 0.171 0.671 0.500
# formation energy from the elements = 8 kJ per mole of atoms
# energy relative to the lowest polymorph listed for this composition = 0.0 meV per atom
# E = -37.589 eV/cell

=====

- Which of these has the lowest E?
  Tm6GaFe2

=====

- Look up the E of the tenth one.
  -194.473 eV/cell

=====

- Among the records above, which one has the lowest E?
  Tm6GaFe2